GGA+U Cr2Cd2CuO6, optimized geometry; energy = -64.8 eV for the cell shown; density of states at the Fermi level = 0.5 states/eV/cell; symmetry = C2/m
1.0
5.406 -0.130 0.104
-2.785 4.635 0.104
-0.873 -1.501 5.327
Cr Cd Cu O
2 2 1 6
Cartesian
-0.473 2.285 2.768
2.220 0.718 2.768
4.105 0.627 0.104
-1.484 3.878 0.104
-0.437 -0.751 2.663
1.330 2.286 3.824
-1.521 0.884 3.820
0.417 0.718 1.711
1.520 -0.885 3.820
3.268 2.119 1.715
0.227 3.888 1.715